Entry 1:
{"formula": "LaSi3Os", "functional": "GGA-PBEsol", "state": "optimized geometry", "total_energy_ha_per_atom": -0.2818, "cell": [[-2.1216, 2.1216, 4.9700], [2.1216, -2.1216, 4.9700], [2.1216, 2.1216, -4.9700]], "species": ["La", "Si", "Si", "Si", "Os"], "frac_coords": [[0.0000, 0.0000, 0.0000], [0.2373, 0.7373, 0.5000], [0.5806, 0.5806, 0.0000], [0.7373, 0.2373, 0.5000], [0.3443, 0.3443, 0.0000]]}



Entry 2:
{"formula": "LaSi2Os", "functional": "GGA-PBEsol", "state": "optimized geometry", "total_energy_ha_per_atom": -0.2802, "cell": [[3.0557, 0.0000, 0.0000], [0.0000, 3.0557, 0.0000], [0.0000, 0.0000, 7.2676]], "species": ["La", "Si", "Si", "Os"], "frac_coords": [[0.0000, 0.0000, 0.0000], [0.5000, 0.5000, 0.3078], [0.5000, 0.5000, 0.6922], [0.0000, 0.0000, 0.5000]]}



Entry 3:
{"formula": "LaSi2Os", "functional": "GGA-PBEsol", "state": "optimized geometry", "total_energy_ha_per_atom": -0.2926, "cell": [[3.5764, -2.0412, 0.0000], [3.5764, 2.0412, 0.0000], [-2.3406, 0.0000, 5.1930]], "species": ["La", "Si", "Si", "Os"], "frac_coords": [[0.0000, 0.0000, 0.0000], [0.2077, 0.2077, 0.6201], [0.7923, 0.7923, 0.3799], [0.5000, 0.5000, 0.5000]]}



Entry 4:
{"formula": "LaSiOs", "functional": "GGA-PBEsol", "state": "optimized geometry", "total_energy_ha_per_atom": -0.2992, "cell": [[-1.5697, 1.5697, 5.6382], [1.5697, -1.5697, 5.6382], [1.5697, 1.5697, -5.6382]], "species": ["La", "Si", "Os"], "frac_coords": [[0.0000, 0.0000, 0.0000], [0.2919, 0.2919, 0.0000], [0.6973, 0.6973, 0.0000]]}



Entry 5:
{"formula": "La3SnOs", "functional": "GGA-PBEsol", "state": "optimized geometry", "delta_e_f_ev_per_fu": -1.4, "cell": [[5.4353, 0.0000, 0.0000], [0.0000, 5.4353, 0.0000], [0.0000, 0.0000, 5.4353]], "species": ["La", "La", "La", "Sn", "Os"], "frac_coords": [[0.0000, 0.0000, 0.5000], [0.0000, 0.5000, 0.0000], [0.5000, 0.0000, 0.0000], [0.5000, 0.5000, 0.5000], [0.0000, 0.0000, 0.0000]]}



Entry 6:
{"formula": "SrLaOs2", "functional": "GGA-PBEsol", "state": "optimized geometry", "delta_e_f_ev_per_fu": 3.3, "e_above_lowest_polymorph_ev_per_fu": 0.19, "cell": [[1.6684, -2.5247, 0.0000], [1.6684, 2.5247, 0.0000], [0.0000, 0.0000, 9.5062]], "species": ["Sr", "La", "Os", "Os"], "frac_coords": [[0.0000, 0.0000, 0.0000], [0.0000, 0.0000, 0.5000], [0.5000, 0.5000, 0.2599], [0.5000, 0.5000, 0.7401]]}



Entry 7:
{"formula": "SrLaOs", "functional": "GGA-PBEsol", "state": "optimized geometry", "delta_e_f_ev_per_fu": 0.7, "cell": [[-1.7523, 1.7523, 7.1620], [1.7523, -1.7523, 7.1620], [1.7523, 1.7523, -7.1620]], "species": ["Sr", "La", "Os"], "frac_coords": [[0.0000, 0.0000, 0.0000], [0.2417, 0.2417, 0.0000], [0.6356, 0.6356, 0.0000]]}



Entry 8:
{"formula": "Sr2LaOs", "functional": "GGA-PBEsol", "state": "optimized geometry", "delta_e_f_ev_per_fu": 3.3, "e_above_lowest_polymorph_ev_per_fu": 2.35, "cell": [[3.0415, -5.4414, 0.0000], [3.0415, 5.4414, 0.0000], [-0.8503, 0.0000, 3.2657]], "species": ["Sr", "Sr", "La", "Os"], "frac_coords": [[0.0000, 0.5000, 0.0000], [0.5000, 0.0000, 0.0000], [0.0000, 0.0000, 0.5000], [0.5000, 0.5000, 0.5000]]}